# NdAgO2

A relaxed NdAgO2 crystal (PBE, Alexandria).

Computed properties:
Raw formation energy: -1.901 eV/atom
Magnetization: 0.000 μB/atom

Unit cell a=3.6138 b=3.6138 c=17.5345 alpha=90.00 beta=90.00 gamma=120.00
Space group R3m (No. 160, hexagonal axes)
One atom of each set of equivalent atoms:
Nd 0.0000 0.0000 0.0000 (multiplicity 3)
Ag 0.0000 0.0000 0.1787 (multiplicity 3)
O 0.0000 0.0000 0.3981 (multiplicity 3)
O 0.0000 0.0000 0.5964 (multiplicity 3)

***

# Fe4P3

A relaxed Fe4P3 crystal (PBE, Alexandria).

Computed properties:
Magnetization: 0.960 μB/atom
Formation enthalpy at 0 K: -0.1853 eV/atom

Unit cell a=3.027 b=3.027 c=17.410 alpha=90.00 beta=90.00 gamma=90.00
Space group I4/mmm (No. 139)
One atom of each set of equivalent atoms:
Fe 0.000 0.000 0.068 (multiplicity 4)
Fe 0.000 0.000 0.341 (multiplicity 4)
P 0.000 0.000 0.205 (multiplicity 4)
P 0.000 0.000 0.500 (multiplicity 2)

***

# LaPmSe3

A relaxed LaPmSe3 crystal (PBE, Alexandria).

Computed properties:
Raw formation energy: -1.981 eV/atom
Magnetization: 0.000 μB/atom

Unit cell a=7.879 b=4.265 c=16.364 alpha=90.00 beta=90.00 gamma=90.00
Space group Pnma (No. 62)
One atom of each set of equivalent atoms:
La 0.140 0.250 0.203 (multiplicity 4)
Pm 0.232 0.750 0.456 (multiplicity 4)
Se 0.009 0.250 0.393 (multiplicity 4)
Se 0.124 0.750 0.065 (multiplicity 4)
Se 0.150 0.250 0.782 (multiplicity 4)

***

# BaSnPb11

A relaxed BaSnPb11 crystal (PBE, Alexandria).

Computed properties:
Magnetization: 0.000 μB/atom
Formation enthalpy at 0 K: -0.0879 eV/atom

Unit cell a=6.539 b=16.419 c=8.772 alpha=90.00 beta=111.76 gamma=90.00
Space group C2/m (No. 12)
One atom of each set of equivalent atoms:
Ba 0.000 0.000 0.000 (multiplicity 2)
Sn 0.000 0.000 0.500 (multiplicity 2)
Pb 0.000 0.500 0.500 (multiplicity 2)
Pb 0.114 0.393 0.216 (multiplicity 8)
Pb 0.175 0.176 0.357 (multiplicity 8)
Pb 0.250 0.250 0.000 (multiplicity 4)

***

# AcPaSnPb

A relaxed AcPaSnPb crystal (PBE, Alexandria).

Computed properties:
Magnetization: 0.605 μB/atom
Formation enthalpy at 0 K: -0.0927 eV/atom

Unit cell a=7.924 b=7.924 c=7.924 alpha=90.00 beta=90.00 gamma=90.00
Space group F-43m (No. 216)
One atom of each set of equivalent atoms:
Ac 0.000 0.000 0.000 (multiplicity 4)
Pa 0.000 0.000 0.500 (multiplicity 4)
Sn 0.250 0.250 0.750 (multiplicity 4)
Pb 0.250 0.250 0.250 (multiplicity 4)

***

# Tb10CePm6

A relaxed Tb10CePm6 crystal (PBE, Alexandria).

Computed properties:
Magnetization: 0.067 μB/atom
Formation enthalpy at 0 K: 0.1441 eV/atom

Unit cell a=9.7276 b=9.7276 c=6.9099 alpha=90.00 beta=90.00 gamma=120.00
Space group P-31m (No. 162)
One atom of each set of equivalent atoms:
Tb 0.0000 0.2699 0.3143 (multiplicity 6)
Tb 0.3333 0.6667 0.0000 (multiplicity 2)
Tb 0.3333 0.6667 0.5000 (multiplicity 2)
Ce 0.0000 0.0000 0.0000 (multiplicity 1)
Pm 0.0000 0.3796 0.7977 (multiplicity 6)

***

# CuPdN2O

A relaxed CuPdN2O crystal (PBE, Alexandria).

Computed properties:
Raw formation energy: 1.634 eV/atom
Magnetization: 0.000 μB/atom

Unit cell a=3.819 b=3.819 c=4.236 alpha=90.00 beta=90.00 gamma=90.00
Space group P4/mmm (No. 123)
One atom of each set of equivalent atoms:
Cu 0.000 0.000 0.000 (multiplicity 1)
Pd 0.500 0.500 0.500 (multiplicity 1)
N 0.000 0.500 0.500 (multiplicity 2)
O 0.500 0.500 0.000 (multiplicity 1)

***

# Li2CaSi2N4

A relaxed Li2CaSi2N4 crystal (PBE, Alexandria).

Computed properties:
Raw formation energy: -1.108 eV/atom
Magnetization: 0.000 μB/atom

Unit cell a=10.631 b=10.631 c=10.631 alpha=90.00 beta=90.00 gamma=90.00
Space group Pa-3 (No. 205)
One atom of each set of equivalent atoms:
Li 0.048 0.114 0.723 (multiplicity 24)
Ca 0.000 0.000 0.000 (multiplicity 4)
Ca 0.205 0.705 0.795 (multiplicity 8)
Si 0.015 0.127 0.248 (multiplicity 24)
N 0.004 0.719 0.391 (multiplicity 24)
N 0.079 0.225 0.362 (multiplicity 24)